Here is a PBEsol-optimized structure of YRe2Si from Alexandria. Energies are from meta-GGA SCAN.

Computed properties:
The calculation puts the density of states at the Fermi level at 0.758 states/eV per atom. As for the energy relative to the elements, uncorrected: 312 meV per atom. As for the magnetization: 0.000 μB per formula unit.

Lattice parameters (Å, degrees): 4.588 4.588 6.159 90.00 90.00 90.00
Space group I-4m2 (No. 119)
Symmetry-distinct sites (fractional):
Y 0.000 0.000 0.000 x2
Re 0.000 0.000 0.500 x2
Re 0.000 0.500 0.250 x2
Si 0.000 0.500 0.750 x2